A plane-wave DFT calculation with PBE was carried out for a geometry-optimized Ti4SnRu5 structure.

Computed properties:
Crystal system ... tetragonal
Energy relative to the elements ... -62 kJ/mol of atoms
DOS at the Fermi energy ... 1.95 states/eV/cell

The structure in CIF format:
```
data_Ti4SnRu5
_symmetry_space_group_name_H-M 'P 4/m m m'
_symmetry_Int_Tables_number 123
_symmetry_space_group_name_Hall '-P 4 2'
_cell_length_a 3.110
_cell_length_b 3.110
_cell_length_c 15.556
_cell_angle_alpha 90.00
_cell_angle_beta 90.00
_cell_angle_gamma 90.00
loop_
_atom_site_label
_atom_site_fract_x
_atom_site_fract_y
_atom_site_fract_z
Ti1 0.000 0.000 0.098
Ti2 0.000 0.000 0.295
Sn1 0.000 0.000 0.500
Ru1 0.500 0.500 0.000
Ru2 0.500 0.500 0.197
Ru3 0.500 0.500 0.392
```